Computed, not measured: a relaxed MgH3Ir crystal at the PBE level of DFT.

Cell lengths 2.834, 5.003, 5.003 Å; angles 48.90, 90.00, 90.00 degrees
Fractional positions:
Mg  0.000  0.000  0.000
H  0.000  0.449  0.946
H  0.000  0.946  0.449
H  0.500  0.846  0.846
Ir  0.500  0.663  0.663

## Properties
- ρ (g/cm3) = 6.82
- DOS at the Fermi energy (states/eV/cell) = 1.27
- total energy (eV/atom) = -4.1142
- magnetic moment (Bohr magnetons per cell) = 0.00



Computed, not measured: a relaxed MgH2Ir5 crystal at the PBE level of DFT.

Cell lengths 4.423, 4.846, 5.511 Å; angles 74.19, 89.90, 62.87 degrees
Fractional positions:
Mg  0.000  0.000  0.000
H  0.376  0.003  0.402
H  0.498  0.002  0.991
Ir  0.282  0.439  0.884
Ir  0.298  0.412  0.407
Ir  0.707  0.594  0.594
Ir  0.719  0.566  0.112
Ir  0.988  0.006  0.499

## Properties
- ρ (g/cm3) = 16.38
- DOS at the Fermi energy (states/eV/cell) = 6.26
- total energy (eV/atom) = -6.5357
- magnetic moment (Bohr magnetons per cell) = 0.00



Computed, not measured: a relaxed MgH4Ir2 crystal at the PBE level of DFT.

Cell lengths 4.194, 4.195, 4.559 Å; angles 108.21, 105.13, 109.05 degrees
Fractional positions:
Mg  0.000  0.000  0.000
H  0.152  0.395  0.542
H  0.222  0.743  0.290
H  0.473  0.502  0.008
H  0.700  0.910  0.524
Ir  0.474  0.183  0.645
Ir  0.819  0.524  0.341

## Properties
- ρ (g/cm3) = 10.40
- DOS at the Fermi energy (states/eV/cell) = 1.49
- total energy (eV/atom) = -4.6008
- magnetic moment (Bohr magnetons per cell) = 0.00



Computed, not measured: a relaxed Mg3HIr2 crystal at the PBE level of DFT.

Cell lengths 4.307, 4.730, 5.298 Å; angles 70.45, 66.85, 63.18 degrees
Fractional positions:
Mg  0.000  0.000  0.000
Mg  0.211  0.236  0.361
Mg  0.789  0.764  0.639
H  0.000  0.500  0.000
Ir  0.438  0.350  0.760
Ir  0.562  0.650  0.240

## Properties
- ρ (g/cm3) = 8.76
- DOS at the Fermi energy (states/eV/cell) = 2.29
- total energy (eV/atom) = -4.6024
- magnetic moment (Bohr magnetons per cell) = 0.00



Computed, not measured: a relaxed MgH3Ir crystal at the PBE level of DFT.

Cell lengths 5.558, 5.558, 5.558 Å; angles 49.50, 49.50, 49.50 degrees
Fractional positions:
Mg  0.103  0.103  0.103
Mg  0.897  0.897  0.897
H  0.114  0.585  0.585
H  0.415  0.415  0.886
H  0.415  0.886  0.415
H  0.585  0.114  0.585
H  0.585  0.585  0.114
H  0.886  0.415  0.415
Ir  0.294  0.294  0.294
Ir  0.706  0.706  0.706

## Properties
- ρ (g/cm3) = 7.99
- DOS at the Fermi energy (states/eV/cell) = 2.51
- total energy (eV/atom) = -4.2510
- magnetic moment (Bohr magnetons per cell) = 0.00



Computed, not measured: a relaxed Mg2H2Ir3 crystal at the PBE level of DFT.

Cell lengths 2.858, 5.055, 6.471 Å; angles 77.95, 77.35, 73.69 degrees
Fractional positions:
Mg  0.000  0.000  0.000
Mg  0.152  0.395  0.296
H  0.581  0.699  0.137
H  0.883  0.841  0.386
Ir  0.302  0.830  0.557
Ir  0.541  0.258  0.656
Ir  0.764  0.553  0.916

## Properties
- ρ (g/cm3) = 12.04
- DOS at the Fermi energy (states/eV/cell) = 2.64
- total energy (eV/atom) = -5.3683
- magnetic moment (Bohr magnetons per cell) = 0.00



Computed, not measured: a relaxed Mg2HIr2 crystal at the PBE level of DFT.

Cell lengths 4.505, 4.505, 3.155 Å; angles 90.00, 90.00, 90.87 degrees
Fractional positions:
Mg  0.237  0.763  0.000
Mg  0.763  0.237  0.000
H  0.000  0.000  0.500
Ir  0.276  0.276  0.500
Ir  0.724  0.724  0.500

## Properties
- ρ (g/cm3) = 11.26
- DOS at the Fermi energy (states/eV/cell) = 1.48
- total energy (eV/atom) = -5.1635
- magnetic moment (Bohr magnetons per cell) = 0.00



Computed, not measured: a relaxed Mg3HIr crystal at the PBE level of DFT.

Cell lengths 4.993, 4.993, 5.967 Å; angles 90.00, 90.00, 80.72 degrees
Fractional positions:
Mg  0.001  0.999  0.500
Mg  0.096  0.471  0.250
Mg  0.471  0.096  0.750
Mg  0.581  0.583  0.500
Mg  0.583  0.581  0.000
Mg  0.999  0.001  0.000
H  0.328  0.859  0.249
H  0.859  0.328  0.749
Ir  0.092  0.535  0.750
Ir  0.535  0.092  0.250

## Properties
- ρ (g/cm3) = 6.02
- DOS at the Fermi energy (states/eV/cell) = 2.59
- total energy (eV/atom) = -3.6767
- magnetic moment (Bohr magnetons per cell) = 0.00



Computed, not measured: a relaxed Mg3HIr crystal at the PBE level of DFT.

Cell lengths 4.691, 5.346, 7.107 Å; angles 110.95, 102.64, 93.57 degrees
Fractional positions:
Mg  0.025  0.223  0.428
Mg  0.260  0.163  0.018
Mg  0.377  0.741  0.270
Mg  0.623  0.259  0.730
Mg  0.740  0.837  0.982
Mg  0.975  0.777  0.572
H  0.367  0.614  0.694
H  0.633  0.386  0.306
Ir  0.177  0.555  0.851
Ir  0.823  0.445  0.149

## Properties
- ρ (g/cm3) = 5.51
- DOS at the Fermi energy (states/eV/cell) = 2.77
- total energy (eV/atom) = -3.6986
- magnetic moment (Bohr magnetons per cell) = 0.00



Computed, not measured: a relaxed Mg5H2Ir3 crystal at the PBE level of DFT.

Cell lengths 4.430, 5.610, 6.876 Å; angles 105.28, 90.10, 113.25 degrees
Fractional positions:
Mg  0.000  0.000  0.000
Mg  0.117  0.232  0.489
Mg  0.301  0.603  0.211
Mg  0.695  0.392  0.898
Mg  0.834  0.665  0.538
H  0.202  0.406  0.829
H  0.626  0.249  0.482
Ir  0.365  0.731  0.853
Ir  0.480  0.958  0.570
Ir  0.584  0.167  0.215

## Properties
- ρ (g/cm3) = 7.73
- DOS at the Fermi energy (states/eV/cell) = 4.16
- total energy (eV/atom) = -4.3979
- magnetic moment (Bohr magnetons per cell) = 0.00